Compound: CdSbW2
Source: the Alexandria database
Functional: PBE-GGA
Structure: relaxed

abc: 5.112 5.112 4.856
angles: 96.53 96.53 37.30
Atoms (fractional coordinates):
Cd: 0.000 0.000 0.000
Sb: 0.500 0.500 0.500
W: 0.255 0.255 0.782
W: 0.745 0.745 0.218

## Properties
Energy above the most stable polymorph in this dataset in eV per atom: 0.353
Raw total energy in eV/f.u.: -27.92
Total magnetization in μB per atom: 0.00
Space-group type: No. 12

---

Compound: CdSb2W
Source: the Alexandria database
Functional: PBE-GGA
Structure: relaxed

abc: 5.114 5.114 5.114
angles: 125.20 125.20 81.21
Atoms (fractional coordinates):
Cd: 0.000 0.000 0.000
Sb: 0.250 0.750 0.500
Sb: 0.750 0.250 0.500
W: 0.500 0.500 0.000

## Properties
Raw total energy in eV/f.u.: -19.31
Total magnetization in μB per atom: 0.29
Space-group type: No. 139

---

Compound: Cd2SbW
Source: the Alexandria database
Functional: PBE-GGA
Structure: relaxed

abc: 2.907 2.907 10.463
angles: 90.00 90.00 98.85
Atoms (fractional coordinates):
Cd: 0.000 0.000 0.214
Cd: 0.000 0.000 0.786
Sb: 0.500 0.500 0.500
W: 0.500 0.500 0.000

## Properties
Raw total energy in eV/f.u.: -16.57
Total magnetization in μB per atom: 0.00
Space-group type: No. 65

---

Copy entry 2 word for word.
Compound: CdSb2W
Source: the Alexandria database
Functional: PBE-GGA
Structure: relaxed

abc: 5.114 5.114 5.114
angles: 125.20 125.20 81.21
Atoms (fractional coordinates):
Cd: 0.000 0.000 0.000
Sb: 0.250 0.750 0.500
Sb: 0.750 0.250 0.500
W: 0.500 0.500 0.000

## Properties
Raw total energy in eV/f.u.: -19.31
Total magnetization in μB per atom: 0.29
Space-group type: No. 139